Entry 1:
The following is a SCAN calculation of a PBEsol-optimized structure of LiAlI2, from the Alexandria database.

a b c (Å): 5.4536 5.4536 5.4536
angles (deg): 60.00 60.00 60.00
Closest atoms and distances in Å follow each position.
Element x y z (fractional)
I 0.7500 0.7500 0.7500  4 Al 3.34, 4 Li 3.34
Al 0.5000 0.5000 0.5000  8 I 3.34
Li 0.0000 0.0000 0.0000  8 I 3.34
I 0.2500 0.2500 0.2500  4 Li 3.34, 4 Al 3.34

Computed properties:
Mass density, g cm⁻³: 4.17
Energy relative to the elements, uncorrected, meV/atom: -362
Raw total energy, eV/atom: -21.27

***

Entry 2:
The following is a SCAN calculation of a PBEsol-optimized structure of HgIr2Au, from the Alexandria database.

a b c (Å): 2.7570 3.5170 6.9037
angles (deg): 90.00 90.00 90.00
Closest atoms and distances in Å follow each position.
Element x y z (fractional)
Ir 0.5000 0.0000 0.0389  6 Ir 2.57-2.76
Hg 0.0000 0.5000 0.7603  2 Hg 2.76, 4 Ir 2.95, 4 Au 2.97
Ir 0.0000 0.5000 0.2236  6 Ir 2.57-2.76, 4 Au 2.84
Au 0.5000 0.0000 0.4773  2 Au 2.76, 5 Ir 2.84-3.03, 4 Hg 2.97

Computed properties:
Mass density, g cm⁻³: 19.40
Raw total energy, eV/atom: -69.53

***

Entry 3:
The following is a SCAN calculation of a PBEsol-optimized structure of AlCrCl2, from the Alexandria database.

a b c (Å): 3.1435 4.1269 5.6942
angles (deg): 90.00 90.00 90.00
Closest atoms and distances in Å follow each position.
Element x y z (fractional)
Al 0.0000 0.5000 0.5000  4 Cl 2.59
Cl 0.5000 0.0000 0.5000  4 Al 2.59
Cr 0.5000 0.5000 0.0000  4 Cl 2.59
Cl 0.0000 0.0000 0.0000  4 Cr 2.59

Computed properties:
Mass density, g cm⁻³: 3.37
Energy relative to the lowest polymorph listed for this composition, eV per atom: 0.2162
Energy relative to the elements, uncorrected, meV/atom: -285
Raw total energy, eV/atom: -10.81

***

Entry 4:
The following is a SCAN calculation of a PBEsol-optimized structure of LiSm2OsO6, from the Alexandria database.

a b c (Å): 5.3245 5.7589 7.6121
angles (deg): 90.00 90.75 90.00
Closest atoms and distances in Å follow each position.
Element x y z (fractional)
O 0.6972 0.8158 0.5506  1 Os 1.97, 1 Li 2.13
O 0.1972 0.6842 0.0506  1 Os 1.97, 1 Li 2.13
O 0.1063 0.9650 0.7467  1 Os 1.96, 1 Li 2.03
Sm 0.4799 0.9234 0.2513  6 O 2.29-2.54
O 0.6063 0.5350 0.2467  1 Os 1.96, 1 Li 2.03
O 0.3028 0.1842 0.4494  1 Os 1.97, 1 Li 2.13
O 0.8937 0.0350 0.2533  1 Os 1.96, 1 Li 2.03
O 0.3230 0.2076 0.0564  1 Os 1.98, 1 Li 2.13
Os 0.0000 0.0000 0.5000  6 O 1.96-1.98
Sm 0.9799 0.5766 0.7513  6 O 2.29-2.54
Sm 0.0201 0.4234 0.2487  6 O 2.29-2.54
O 0.8230 0.2924 0.5564  1 Os 1.98, 1 Li 2.13
O 0.1770 0.7076 0.4436  1 Os 1.98, 1 Li 2.13
Sm 0.5201 0.0766 0.7487  6 O 2.29-2.54
O 0.3937 0.4650 0.7533  1 Os 1.96, 1 Li 2.03
O 0.6770 0.7924 0.9436  1 Os 1.98, 1 Li 2.13
O 0.8028 0.3158 0.9494  1 Os 1.97, 1 Li 2.13
Li 0.5000 0.5000 0.5000  6 O 2.03-2.13
Os 0.5000 0.5000 0.0000  6 O 1.96-1.98
Li 0.0000 0.0000 0.0000  6 O 2.03-2.13

Computed properties:
Mass density, g cm⁻³: 8.45
Energy relative to the elements, uncorrected, meV/atom: -2694
Raw total energy, eV/atom: -22.75

***

Entry 5:
The following is a SCAN calculation of a PBEsol-optimized structure of PPt2C, from the Alexandria database.

a b c (Å): 4.7693 4.7693 6.3449
angles (deg): 112.08 112.08 90.00
Closest atoms and distances in Å follow each position.
Element x y z (fractional)
Pt 0.6250 0.5652 0.7500  2 C 2.01
P 0.2500 0.7500 0.5000  4 Pt 2.33
Pt 0.4348 0.8750 0.2500  2 C 2.01
C 0.5000 0.5000 0.0000  4 Pt 2.01
C 0.7500 0.2500 0.5000  4 Pt 2.01
Pt 0.1250 0.1848 0.7500  2 C 2.01
P 0.0000 0.0000 0.0000  4 Pt 2.33
Pt 0.8152 0.3750 0.2500  2 C 2.01

Computed properties:
Mass density, g cm⁻³: 11.77
Raw total energy, eV/atom: -40.03

***

Entry 6:
The following is a SCAN calculation of a PBEsol-optimized structure of YTiPt3, from the Alexandria database.

a b c (Å): 4.6741 4.6741 4.6741
angles (deg): 90.00 90.00 90.00
Closest atoms and distances in Å follow each position.
Element x y z (fractional)
Y 0.5000 0.5000 0.5000  12 Pt 3.31
Pt 0.0000 0.5000 0.0000  2 Ti 2.34
Ti 0.0000 0.0000 0.0000  6 Pt 2.34
Pt 0.5000 0.0000 0.0000  2 Ti 2.34
Pt 0.0000 0.0000 0.5000  2 Ti 2.34

Computed properties:
Mass density, g cm⁻³: 11.74
Energy relative to the lowest polymorph listed for this composition, eV per atom: 0.0000
Raw total energy, eV/atom: -51.39

***

Entry 7:
The following is a SCAN calculation of a PBEsol-optimized structure of Cd2RhAu, from the Alexandria database.

a b c (Å): 3.8614 4.1733 4.1733
angles (deg): 90.00 90.00 90.00
Closest atoms and distances in Å follow each position.
Element x y z (fractional)
Cd 0.0000 0.5000 0.0000  4 Rh 2.84, 4 Au 2.84, 4 Cd 2.95
Cd 0.0000 0.0000 0.5000  4 Rh 2.84, 4 Au 2.84, 4 Cd 2.95
Au 0.5000 0.0000 0.0000  8 Cd 2.84, 4 Rh 2.95
Rh 0.5000 0.5000 0.5000  8 Cd 2.84, 4 Au 2.95

Computed properties:
Mass density, g cm⁻³: 12.96
Raw total energy, eV/atom: -41.18

***

Entry 8:
The following is a SCAN calculation of a PBEsol-optimized structure of CoPRh2, from the Alexandria database.

a b c (Å): 2.7506 3.6775 5.0827
angles (deg): 90.00 103.65 90.00
Closest atoms and distances in Å follow each position.
Element x y z (fractional)
Rh 0.1335 0.0000 0.2608  2 P 2.30
Rh 0.8665 0.0000 0.7392  2 P 2.30
Co 0.5000 0.5000 0.0000  2 P 2.54, 8 Rh 2.60-2.66, 2 Co 2.75
P 0.5000 0.5000 0.5000  4 Rh 2.30, 2 Co 2.54

Computed properties:
Mass density, g cm⁻³: 9.83
Raw total energy, eV/atom: -24.03

***

Entry 9:
The following is a SCAN calculation of a PBEsol-optimized structure of BaCd2In, from the Alexandria database.

a b c (Å): 4.8422 4.8422 6.6002
angles (deg): 68.48 68.48 60.00
Closest atoms and distances in Å follow each position.
Element x y z (fractional)
In 0.5363 0.5363 0.3911  6 Cd 2.96-3.20
Cd 0.2580 0.2580 0.2260  3 Cd 2.85, 3 In 2.96
Cd 0.9569 0.9569 0.1293  3 Cd 2.85
Ba 0.7496 0.7496 0.7512  4 In 3.53-3.83, 4 Cd 3.60-3.72

Computed properties:
Mass density, g cm⁻³: 6.52
Raw total energy, eV/atom: -33.79

***

Entry 10:
The following is a SCAN calculation of a PBEsol-optimized structure of AsOs3, from the Alexandria database.

a b c (Å): 2.8173 4.5138 5.2526
angles (deg): 115.45 105.56 90.00
Closest atoms and distances in Å follow each position.
Element x y z (fractional)
As 0.0000 0.0007 0.0000  4 Os 2.42-2.43
Os 0.5000 0.4391 0.0000  2 As 2.43, 4 Os 2.70
Os 0.2202 0.9170 0.4404  1 As 2.42, 2 Os 2.70
Os 0.7798 0.4766 0.5596  1 As 2.42, 2 Os 2.70

Computed properties:
Mass density, g cm⁻³: 18.61
Energy relative to the lowest polymorph listed for this composition, eV per atom: 0.0000
Raw total energy, eV/atom: -58.73

***

Entry 11:
The following is a SCAN calculation of a PBEsol-optimized structure of CsBa3Al, from the Alexandria database.

a b c (Å): 6.7589 6.7589 6.7589
angles (deg): 90.00 90.00 90.00
Closest atoms and distances in Å follow each position.
Element x y z (fractional)
Ba 0.5000 0.0000 0.0000  2 Al 3.38
Ba 0.0000 0.0000 0.5000  2 Al 3.38
Cs 0.5000 0.5000 0.5000  12 Ba 4.78
Ba 0.0000 0.5000 0.0000  2 Al 3.38
Al 0.0000 0.0000 0.0000  6 Ba 3.38

Computed properties:
Mass density, g cm⁻³: 3.08
Energy relative to the lowest polymorph listed for this composition, eV per atom: 0.0000
Raw total energy, eV/atom: -32.73

***

Entry 12:
The following is a SCAN calculation of a PBEsol-optimized structure of BeSb2Ir, from the Alexandria database.

a b c (Å): 3.2277 4.7627 4.7627
angles (deg): 102.93 90.00 90.00
Closest atoms and distances in Å follow each position.
Element x y z (fractional)
Sb 0.0000 0.0000 0.5000  4 Be 2.88, 4 Ir 2.88, 2 Sb 2.97
Sb 0.0000 0.5000 0.0000  4 Ir 2.88, 4 Be 2.88, 2 Sb 2.97
Ir 0.5000 0.5000 0.5000  8 Sb 2.88, 2 Be 2.97
Be 0.5000 0.0000 0.0000  8 Sb 2.88, 2 Ir 2.97

Computed properties:
Mass density, g cm⁻³: 10.35
Energy relative to the elements, uncorrected, meV/atom: 513
Raw total energy, eV/atom: -36.98